Below is a relaxed CrFe2TeRh crystal, with properties calculated at the PBE level.

The structure in POSCAR format:
```
CrFe2TeRh
1.0
4.695 0.000 0.000
0.000 4.695 0.000
0.000 0.000 4.478
Cr Fe Te Rh
1 2 1 1
Direct
0.000 0.000 0.000
0.000 0.500 0.500
0.500 0.000 0.500
0.500 0.500 0.000
0.000 0.000 0.500
```

The volume is 98.7 Å³/cell. Its formation energy (no corrections) is 1.11 eV per atom. The space-group type is No. 123.